Compound: HfMn2CoO6
Source: Alexandria
Functional: GGA+U
Structure: relaxed

uncorrected energy = -79.69 eV per formula unit
calculated density = 6.5 Mg/m³

Structure (POSCAR):
```
HfMn2CoO6
1.0
-3.9835 -0.9524 -3.1661
-2.3096 -4.6359 0.4085
-5.1606 -0.1130 2.2231
O Hf Mn Co
6 1 2 1
direct
0.2088 0.9239 0.2313 O
0.4227 0.7094 0.7286 O
0.7316 0.1086 0.7694 O
0.5975 0.2470 0.2564 O
0.1313 0.3980 0.7467 O
0.9093 0.6191 0.2344 O
0.3138 0.3168 0.0663 Hf
0.5134 0.5162 0.4517 Mn
0.0152 0.0129 0.9523 Mn
0.8179 0.8098 0.5780 Co
```